## Nd2TmScS6 (GGA-PBE)

Data for a relaxed Nd2TmScS6 crystal.

Output
calculated volume = 23.3 Å³ per atom
total magnetization = 0.00 μB per cell
E_tot = -6.54 eV per atom

a = 6.5941 Å, b = 7.2404 Å, c = 11.7228 Å
α = 90.00°, β = 123.57°, γ = 90.00°
Space group P2_1/c (No. 14)
One atom of each set of equivalent atoms:
Nd 0.2105 0.0964 0.2485 (multiplicity 4)
Tm 0.5000 0.0000 0.0000 (multiplicity 2)
Sc 0.0000 0.0000 0.5000 (multiplicity 2)
S 0.1050 0.1909 0.9317 (multiplicity 4)
S 0.2483 0.6831 0.9323 (multiplicity 4)
S 0.3817 0.0453 0.7441 (multiplicity 4)

## ZnSn2HgIr (GGA-PBE)

Data for a relaxed ZnSn2HgIr crystal.

Output
calculated volume = 26.1 Å³ per atom
total magnetization = 0.00 μB per cell
E_tot = -3.68 eV per atom
formation enthalpy at 0 K = 0.02 eV/f.u.

a = 5.1229 Å, b = 5.1229 Å, c = 4.9693 Å
α = 90.00°, β = 90.00°, γ = 90.00°
Space group P4/mmm (No. 123)
One atom of each set of equivalent atoms:
Zn 0.0000 0.0000 0.0000 (multiplicity 1)
Sn 0.0000 0.5000 0.5000 (multiplicity 2)
Hg 0.5000 0.5000 0.0000 (multiplicity 1)
Ir 0.0000 0.0000 0.5000 (multiplicity 1)

## AcHoSeS (GGA-PBE)

Data for a relaxed AcHoSeS crystal.

Output
calculated volume = 25.8 Å³ per atom
total magnetization = 0.00 μB per cell
E_tot = -5.96 eV per atom

a = 4.0827 Å, b = 4.0827 Å, c = 21.4675 Å
α = 90.00°, β = 90.00°, γ = 120.00°
Space group R3m (No. 160, hexagonal axes)
One atom of each set of equivalent atoms:
Ac 0.0000 0.0000 0.0000 (multiplicity 3)
Ho 0.0000 0.0000 0.5122 (multiplicity 3)
Se 0.0000 0.0000 0.7665 (multiplicity 3)
S 0.0000 0.0000 0.2442 (multiplicity 3)